No. 1
The following is a DFT calculation (GGA-PBE) of a relaxed structure of MgFeSi4.

abc: 5.002 5.002 5.002
angles: 60.00 60.00 60.00
Site moments in Bohr magnetons follow the coordinates.
Sites, in units of the cell vectors:
1 Si 0.376 0.873 0.376  0.02
2 Si 0.376 0.376 0.376  0.02
3 Si 0.873 0.376 0.376  0.02
4 Si 0.376 0.376 0.873  0.02
5 Mg 0.000 0.000 0.000  -0.02
6 Fe 0.750 0.750 0.750  2.72

V	14.75	Å³ per atom
space-group type	No. 216
uncorrected formation energy	374	meV/atom
calculated density	3.6	Mg/m³

***

No. 2
The following is a DFT calculation (GGA-PBE) of a relaxed structure of AcCdPd2.

abc: 3.595 3.595 6.920
angles: 90.00 90.00 90.00
Sites, in units of the cell vectors:
1 Cd 0.500 0.500 0.000
2 Pd 0.000 0.000 0.208
3 Pd 0.000 0.000 0.792
4 Ac 0.500 0.500 0.500

formation energy	-50	kJ/mol of atoms
V	22.36	Å³ per atom
space-group type	No. 123
calculated density	10.3	Mg/m³

***

No. 3
The following is a DFT calculation (GGA-PBE) of a relaxed structure of AcLaPr4.

abc: 3.783 9.938 12.487
angles: 148.66 90.22 100.90
Sites, in units of the cell vectors:
1 La 0.000 0.000 0.000
2 Pr 0.339 0.676 0.006
3 Pr 0.170 0.340 0.502
4 Pr 0.830 0.660 0.498
5 Pr 0.661 0.324 0.994
6 Ac 0.500 0.000 0.500

formation energy	2	kJ/mol of atoms
V	37.81	Å³ per atom
space-group type	No. 2
calculated density	6.8	Mg/m³